VASP calculation (PBE) on a geometry-optimized Nd3Cu4Ir2 structure.

## Properties
* DOS at the Fermi energy: 4.53 states/eV/f.u.
* VASP energy: -5.73 eV/atom
* ΔH_f (0 K): -0.352 eV/atom
* space group: C2/m, No. 12
* V: 20.3 Å³ per atom
* mass density: 9.715 g/cm³

a b c (Å): 4.284 5.775 8.370
angles (deg): 106.48 90.00 111.77
Sites, in units of the cell vectors:
Cu (0.960, 0.921, 0.621)
Cu (0.724, 0.448, 0.055)
Cu (0.040, 0.079, 0.379)
Cu (0.276, 0.552, 0.945)
Nd (0.323, 0.645, 0.347)
Nd (0.677, 0.355, 0.653)
Nd (0.000, 0.000, 0.000)
Ir (0.393, 0.786, 0.728)
Ir (0.607, 0.214, 0.272)